(1)
SrCuSb: relaxed, GGA-PBE.

Geometry as CIF:
```
data_SrCuSb
_cell_length_a 5.231
_cell_length_b 4.455
_cell_length_c 7.232
_cell_angle_alpha 90.00
_cell_angle_beta 96.41
_cell_angle_gamma 90.00
_symmetry_space_group_name_H-M 'P 1 21/m 1'
_symmetry_Int_Tables_number 11
loop_
_symmetry_equiv_pos_as_xyz
'x,y,z'
'-x,-y,-z'
'-x,y+1/2,-z'
'x,-y+1/2,z'
loop_
_atom_site_label
_atom_site_type_symbol
_atom_site_fract_x
_atom_site_fract_y
_atom_site_fract_z
Sr1 Sr 0.215 0.250 0.289
Cu1 Cu 0.362 0.750 0.960
Sb1 Sb 0.265 0.250 0.763
```

Properties
* density of states at the Fermi level: 0.489 states/eV per cell
* crystal system: monoclinic
* VASP energy: -0.144 hartree per atom
* calculated volume: 167.5 Å³ per cell
* magnetization: 0.0 Bohr magnetons per cell

---

(2)
Ti2Al2Cd: relaxed, GGA-PBE.

Geometry as CIF:
```
data_Ti2Al2Cd
_cell_length_a 7.875
_cell_length_b 7.875
_cell_length_c 2.984
_cell_angle_alpha 90.00
_cell_angle_beta 90.00
_cell_angle_gamma 90.00
_symmetry_space_group_name_H-M 'P 4/m b m'
_symmetry_Int_Tables_number 127
_symmetry_space_group_name_Hall '-P 4 2ab'
loop_
_atom_site_label
_atom_site_type_symbol
_atom_site_fract_x
_atom_site_fract_y
_atom_site_fract_z
Ti1 Ti 0.117 0.383 0.000
Al1 Al 0.181 0.681 0.500
Cd1 Cd 0.000 0.000 0.000
```

Properties
* energy relative to the lowest polymorph listed for this composition: 146 meV/atom
* ΔE_f: -26 meV per atom
* density of states at the Fermi level: 7.269 states/eV per cell
* crystal system: tetragonal
* VASP energy: -0.179 hartree per atom
* calculated volume: 185.1 Å³ per cell
* magnetization: 2.0 Bohr magnetons per cell

---

(3)
NpMn17Os: relaxed, GGA-PBE.

Geometry as CIF:
```
data_NpMn17Os
_cell_length_a 8.0568
_cell_length_b 8.0568
_cell_length_c 12.1149
_cell_angle_alpha 90.00
_cell_angle_beta 90.00
_cell_angle_gamma 120.00
_symmetry_space_group_name_H-M 'R 3 m'
_symmetry_Int_Tables_number 160
_symmetry_space_group_name_Hall 'R 3 -2"'
loop_
_atom_site_label
_atom_site_type_symbol
_atom_site_fract_x
_atom_site_fract_y
_atom_site_fract_z
Np1 Np 0.0000 0.0000 0.0000
Mn1 Mn 0.0000 0.0000 0.5563
Mn2 Mn 0.0000 0.0000 0.7459
Mn3 Mn 0.9998 0.4999 0.1483
Mn4 Mn 0.0402 0.3637 0.3100
Mn5 Mn 0.1716 0.3432 0.1264
Mn6 Mn 0.1717 0.3433 0.8297
Os1 Os 0.0000 0.0000 0.3219
```

Properties
* ΔE_f: 173 meV per atom
* density of states at the Fermi level: 81.579 states/eV per cell
* crystal system: trigonal
* VASP energy: -0.342 hartree per atom
* calculated volume: 681.0 Å³ per cell
* magnetization: 2.3 Bohr magnetons per cell

---

(4)
ZrPRh2: relaxed, GGA-PBE.

Geometry as CIF:
```
data_ZrPRh2
_cell_length_a 3.844
_cell_length_b 3.844
_cell_length_c 8.362
_cell_angle_alpha 90.00
_cell_angle_beta 90.00
_cell_angle_gamma 90.00
_symmetry_space_group_name_H-M 'I -4 m 2'
_symmetry_Int_Tables_number 119
_symmetry_space_group_name_Hall 'I -4 -2'
loop_
_atom_site_label
_atom_site_type_symbol
_atom_site_fract_x
_atom_site_fract_y
_atom_site_fract_z
Zr1 Zr 0.000 0.000 0.000
P1 P 0.000 0.500 0.750
Rh1 Rh 0.000 0.000 0.500
Rh2 Rh 0.000 0.500 0.250
```

Properties
* ΔE_f: -634 meV per atom
* density of states at the Fermi level: 3.631 states/eV per cell
* crystal system: tetragonal
* VASP energy: -0.287 hartree per atom
* calculated volume: 123.6 Å³ per cell
* magnetization: 0.0 Bohr magnetons per cell